VASP calculation (GGA-PBE) on KScFe after structural relaxation.

Results
Theoretical density: 2.7 g cm⁻³
Symmetry: F-43m (216)
Distance to the lowest polymorph of the same formula: 647 meV per atom

Cell lengths 7.0297, 7.0297, 7.0297 Å; angles 90.00, 90.00, 90.00 degrees
Last column: nearest neighbours and their distance in Å.
Element x y z (fractional)
K1 0.0000 0.0000 0.0000  4 Fe 3.04
K2 0.0000 0.5000 0.5000  4 Fe 3.04
K3 0.5000 0.0000 0.5000  4 Fe 3.04
K4 0.5000 0.5000 0.0000  4 Fe 3.04
Sc1 0.0000 0.0000 0.5000  4 Fe 3.04
Sc2 0.0000 0.5000 0.0000  4 Fe 3.04
Sc3 0.5000 0.0000 0.0000  4 Fe 3.04
Sc4 0.5000 0.5000 0.5000  4 Fe 3.04
Fe1 0.2500 0.2500 0.2500  4 K 3.04, 4 Sc 3.04
Fe2 0.2500 0.7500 0.7500  4 K 3.04, 4 Sc 3.04
Fe3 0.7500 0.2500 0.7500  4 K 3.04, 4 Sc 3.04
Fe4 0.7500 0.7500 0.2500  4 K 3.04, 4 Sc 3.04